(1)
This record from the Alexandria database describes a relaxed structure of CuSnC2. The functional is PBE.

Cell and atoms, written as POSCAR:
```
CuSnC2
1.0
0.000 2.875 2.875
2.875 0.000 2.875
2.875 2.875 0.000
Cu Sn C
1 1 2
Direct
0.000 0.000 0.000
0.500 0.500 0.500
0.250 0.250 0.250
0.750 0.750 0.750
```

DOS at the Fermi energy: 1.76 states/eV/cell
final energy: -4.56 eV per atom

***

(2)
This record from the Alexandria database describes a relaxed structure of Hf2ThCo. The functional is PBE.

Cell and atoms, written as POSCAR:
```
Hf2ThCo
1.0
3.489 0.000 0.000
0.000 8.881 0.000
-1.728 0.000 5.603
Hf Th Co
4 2 2
Direct
0.141 0.063 0.281
0.141 0.437 0.281
0.859 0.563 0.719
0.859 0.937 0.719
0.420 0.250 0.839
0.580 0.750 0.161
0.277 0.750 0.554
0.723 0.250 0.446
```

DOS at the Fermi energy: 8.49 states/eV/cell
final energy: -8.78 eV per atom

***

(3)
This record from the Alexandria database describes a relaxed structure of CePa2Pb. The functional is PBE.

Cell and atoms, written as POSCAR:
```
CePa2Pb
1.0
0.000 3.739 3.739
3.739 0.000 3.739
3.739 3.739 0.000
Ce Pa Pb
1 2 1
Direct
0.000 0.000 0.000
0.250 0.250 0.250
0.750 0.750 0.750
0.500 0.500 0.500
```

DOS at the Fermi energy: 12.87 states/eV/cell
final energy: -6.90 eV per atom

***

(4)
This record from the Alexandria database describes a relaxed structure of Ce2DyYBi5. The functional is PBE.

Cell and atoms, written as POSCAR:
```
Ce2DyYBi5
1.0
5.462 0.000 0.000
0.000 5.462 0.000
0.000 0.000 11.836
Ce Dy Y Bi
2 1 1 5
Direct
0.000 0.000 0.216
0.000 0.000 0.784
0.500 0.500 0.000
0.500 0.500 0.500
0.000 0.000 0.500
0.000 0.500 0.000
0.500 0.000 0.000
0.500 0.500 0.253
0.500 0.500 0.747
```

DOS at the Fermi energy: 18.00 states/eV/cell
final energy: -4.81 eV per atom

***

(5)
This record from the Alexandria database describes a relaxed structure of MgV2ZnH. The functional is PBE.

Cell and atoms, written as POSCAR:
```
MgV2ZnH
1.0
3.720 0.000 0.000
0.000 3.720 0.000
0.000 0.000 4.423
Mg V Zn H
1 2 1 1
Direct
0.000 0.000 0.000
0.000 0.500 0.500
0.500 0.000 0.500
0.500 0.500 0.000
0.000 0.000 0.500
```

DOS at the Fermi energy: 1.37 states/eV/cell
final energy: -4.85 eV per atom

***

(6)
This record from the Alexandria database describes a relaxed structure of CuNiPSe4. The functional is PBE.

Cell and atoms, written as POSCAR:
```
CuNiPSe4
1.0
-3.661 4.042 4.874
3.661 -4.042 4.874
3.661 4.042 -4.874
Cu Ni P Se
2 2 2 8
Direct
0.000 0.000 0.000
0.500 0.000 0.500
0.500 0.000 0.000
0.500 0.500 0.500
0.114 0.364 0.750
0.886 0.636 0.250
0.248 0.241 0.493
0.248 0.755 0.007
0.297 0.242 0.056
0.314 0.758 0.556
0.686 0.242 0.444
0.703 0.758 0.944
0.752 0.245 0.993
0.752 0.759 0.507
```

formation energy (no corrections): -50 kJ/mol of formula units
DOS at the Fermi energy: 6.58 states/eV/cell
final energy: -4.25 eV per atom

***

(7)
This record from the Alexandria database describes a relaxed structure of Mg4ZrW. The functional is PBE.

Cell and atoms, written as POSCAR:
```
Mg4ZrW
1.0
0.000 3.875 3.875
3.875 0.000 3.875
3.875 3.875 0.000
Mg Zr W
4 1 1
Direct
0.124 0.124 0.124
0.124 0.124 0.627
0.124 0.627 0.124
0.627 0.124 0.124
0.500 0.500 0.500
0.750 0.750 0.750
```

DOS at the Fermi energy: 7.35 states/eV/cell
final energy: -4.19 eV per atom

***

(8)
This record from the Alexandria database describes a relaxed structure of Li2AlRe. The functional is PBE.

Cell and atoms, written as POSCAR:
```
Li2AlRe
1.0
2.628 0.000 0.000
0.000 4.168 0.000
0.000 0.000 5.516
Li Al Re
2 1 1
Direct
0.000 0.000 0.000
0.500 0.500 0.232
0.500 0.500 0.686
0.000 0.000 0.507
```

DOS at the Fermi energy: 2.49 states/eV/cell
final energy: -4.90 eV per atom

***

(9)
This record from the Alexandria database describes a relaxed structure of LaCoNi2. The functional is PBE.

Cell and atoms, written as POSCAR:
```
LaCoNi2
1.0
4.244 0.000 0.000
0.000 4.057 0.000
-1.094 0.000 4.214
La Co Ni
1 1 2
Direct
0.000 0.000 0.000
0.500 0.000 0.500
0.271 0.500 0.596
0.729 0.500 0.404
```

DOS at the Fermi energy: 4.63 states/eV/cell
final energy: -5.82 eV per atom

***

(10)
This record from the Alexandria database describes a relaxed structure of TbSm2In3. The functional is PBE.

Cell and atoms, written as POSCAR:
```
TbSm2In3
1.0
2.696 -8.091 0.000
2.696 8.091 0.000
0.000 0.000 7.618
Tb Sm In
2 4 6
Direct
0.167 0.833 0.000
0.833 0.167 0.000
0.166 0.834 0.500
0.500 0.500 0.000
0.500 0.500 0.500
0.834 0.166 0.500
0.000 0.000 0.246
0.000 0.000 0.754
0.332 0.668 0.246
0.332 0.668 0.754
0.668 0.332 0.246
0.668 0.332 0.754
```

DOS at the Fermi energy: 5.79 states/eV/cell
final energy: -4.20 eV per atom

***

(11)
This record from the Alexandria database describes a relaxed structure of AlGaPt4. The functional is PBE.

Cell and atoms, written as POSCAR:
```
AlGaPt4
1.0
3.788 -3.790 0.000
3.788 3.790 0.000
0.000 0.000 4.011
Al Ga Pt
1 1 4
Direct
0.000 0.000 0.000
0.500 0.500 0.500
0.183 0.817 0.500
0.312 0.312 0.000
0.688 0.688 0.000
0.817 0.183 0.500
```

DOS at the Fermi energy: 3.65 states/eV/cell
final energy: -5.10 eV per atom

***

(12)
This record from the Alexandria database describes a relaxed structure of TbCeCd17. The functional is PBE.

Cell and atoms, written as POSCAR:
```
TbCeCd17
1.0
5.033 2.906 4.998
-5.033 2.906 4.998
0.000 -5.812 4.998
Tb Ce Cd
1 1 17
Direct
0.000 0.000 0.000
0.660 0.660 0.660
0.026 0.324 0.630
0.026 0.630 0.324
0.124 0.701 0.701
0.222 0.222 0.222
0.324 0.026 0.630
0.324 0.630 0.026
0.347 0.347 0.804
0.347 0.804 0.347
0.419 0.419 0.419
0.454 0.979 0.979
0.630 0.026 0.324
0.630 0.324 0.026
0.701 0.124 0.701
0.701 0.701 0.124
0.804 0.347 0.347
0.979 0.454 0.979
0.979 0.979 0.454
```

DOS at the Fermi energy: 12.82 states/eV/cell
final energy: -1.49 eV per atom